1.
# Ac2ThPN5 | the Alexandria database | PBE | relaxed
data_Ac2ThPN5
_chemical_formula_sum 'Ac4 Th2 P2 N10'
_symmetry_space_group_name_H-M 'P 1'
_symmetry_Int_Tables_number 1
_symmetry_space_group_name_Hall 'P 1'
_cell_length_a 7.029
_cell_length_b 7.029
_cell_length_c 7.426
_cell_angle_alpha 118.25
_cell_angle_beta 118.25
_cell_angle_gamma 90.00
loop_
_atom_site_label
_atom_site_type_symbol
_atom_site_fract_x
_atom_site_fract_y
_atom_site_fract_z
_atom_site_occupancy
N1 N 0.500 0.500 0.000 1
N2 N 0.202 0.974 0.675 1
N3 N 0.798 0.026 0.325 1
N4 N 0.974 0.474 0.675 1
N5 N 0.000 0.000 0.000 1
N6 N 0.298 0.798 0.325 1
N7 N 0.026 0.526 0.325 1
N8 N 0.526 0.298 0.325 1
N9 N 0.474 0.702 0.675 1
N10 N 0.702 0.202 0.675 1
P1 P 0.250 0.750 0.500 1
P2 P 0.750 0.250 0.500 1
Ac1 Ac 0.177 0.323 0.000 1
Ac2 Ac 0.823 0.677 0.000 1
Ac3 Ac 0.323 0.823 0.000 1
Ac4 Ac 0.677 0.177 0.000 1
Th1 Th 0.750 0.750 0.500 1
Th2 Th 0.250 0.250 0.500 1
# Formation energy from raw total energies (eV/atom): -1.141
# Uncorrected energy (eV per atom): -8.104
# Space-group type: I4/mcm

=====

2.
# AcThPN | the Alexandria database | PBE | relaxed
data_AcThPN
_chemical_formula_sum 'Ac1 Th1 P1 N1'
_symmetry_space_group_name_H-M 'P 1'
_symmetry_Int_Tables_number 1
_symmetry_space_group_name_Hall 'P 1'
_cell_length_a 3.976
_cell_length_b 3.976
_cell_length_c 7.121
_cell_angle_alpha 73.79
_cell_angle_beta 73.79
_cell_angle_gamma 60.00
loop_
_atom_site_label
_atom_site_type_symbol
_atom_site_fract_x
_atom_site_fract_y
_atom_site_fract_z
_atom_site_occupancy
Ac1 Ac 0.507 0.507 0.479 1
P1 P 0.742 0.742 0.774 1
N1 N 0.263 0.263 0.212 1
Th1 Th 0.988 0.988 0.036 1
# Formation energy from raw total energies (eV/atom): -1.338
# Density of states at the Fermi level (states/eV/f.u.): 1.88
# Uncorrected energy (eV per atom): -7.654
# Space-group type: R3m

=====

3.
# Ac2ThP2N6 | the Alexandria database | PBE | relaxed
data_Ac2ThP2N6
_chemical_formula_sum 'Ac2 Th1 P2 N6'
_symmetry_space_group_name_H-M 'P 1'
_symmetry_Int_Tables_number 1
_symmetry_space_group_name_Hall 'P 1'
_cell_length_a 5.704
_cell_length_b 5.704
_cell_length_c 7.024
_cell_angle_alpha 66.05
_cell_angle_beta 66.05
_cell_angle_gamma 60.00
loop_
_atom_site_label
_atom_site_type_symbol
_atom_site_fract_x
_atom_site_fract_y
_atom_site_fract_z
_atom_site_occupancy
N1 N 0.266 0.746 0.723 1
N2 N 0.254 0.734 0.277 1
N3 N 0.266 0.266 0.723 1
N4 N 0.734 0.734 0.277 1
N5 N 0.734 0.254 0.277 1
N6 N 0.746 0.266 0.723 1
Ac1 Ac 0.789 0.789 0.633 1
Ac2 Ac 0.211 0.211 0.367 1
P1 P 0.595 0.595 0.215 1
P2 P 0.405 0.405 0.785 1
Th1 Th 0.000 0.000 0.000 1
# Formation energy from raw total energies (eV/atom): -1.045
# Density of states at the Fermi level (states/eV/f.u.): 3.98
# Uncorrected energy (eV per atom): -7.991
# Space-group type: R-3m

=====

4.
# AcTi3P4N12 | the Alexandria database | PBE | relaxed
data_AcTi3P4N12
_chemical_formula_sum 'Ac1 Ti3 P4 N12'
_symmetry_space_group_name_H-M 'P 1'
_symmetry_Int_Tables_number 1
_symmetry_space_group_name_Hall 'P 1'
_cell_length_a 6.564
_cell_length_b 6.564
_cell_length_c 6.564
_cell_angle_alpha 104.94
_cell_angle_beta 104.94
_cell_angle_gamma 104.94
loop_
_atom_site_label
_atom_site_type_symbol
_atom_site_fract_x
_atom_site_fract_y
_atom_site_fract_z
_atom_site_occupancy
P1 P 0.062 0.500 0.938 1
P2 P 0.500 0.500 0.500 1
P3 P 0.938 0.062 0.500 1
P4 P 0.500 0.938 0.062 1
Ti1 Ti 0.000 0.560 0.440 1
Ti2 Ti 0.440 0.000 0.560 1
Ti3 Ti 0.560 0.440 0.000 1
N1 N 0.652 0.500 0.348 1
N2 N 0.911 0.500 0.089 1
N3 N 0.762 0.034 0.624 1
N4 N 0.089 0.911 0.500 1
N5 N 0.500 0.348 0.652 1
N6 N 0.966 0.238 0.376 1
N7 N 0.624 0.762 0.034 1
N8 N 0.238 0.376 0.966 1
N9 N 0.034 0.624 0.762 1
N10 N 0.348 0.652 0.500 1
N11 N 0.500 0.089 0.911 1
N12 N 0.376 0.966 0.238 1
Ac1 Ac 0.000 0.000 0.000 1
# Formation energy from raw total energies (eV/atom): -0.630
# Density of states at the Fermi level (states/eV/f.u.): 5.44
# Uncorrected energy (eV per atom): -8.096
# Space-group type: R32

=====

5.
# Ac2TlP2N6 | the Alexandria database | PBE | relaxed
data_Ac2TlP2N6
_chemical_formula_sum 'Ac2 Tl1 P2 N6'
_symmetry_space_group_name_H-M 'P 1'
_symmetry_Int_Tables_number 1
_symmetry_space_group_name_Hall 'P 1'
_cell_length_a 7.105
_cell_length_b 6.591
_cell_length_c 6.999
_cell_angle_alpha 114.59
_cell_angle_beta 89.90
_cell_angle_gamma 57.46
loop_
_atom_site_label
_atom_site_type_symbol
_atom_site_fract_x
_atom_site_fract_y
_atom_site_fract_z
_atom_site_occupancy
N1 N 0.079 0.843 0.625 1
N2 N 0.606 0.417 0.176 1
N3 N 0.974 0.420 0.177 1
N4 N 0.394 0.583 0.824 1
N5 N 0.921 0.157 0.375 1
N6 N 0.026 0.580 0.823 1
P1 P 0.163 0.674 0.750 1
P2 P 0.837 0.326 0.250 1
Tl1 Tl 0.500 0.000 0.500 1
Ac1 Ac 0.183 0.634 0.197 1
Ac2 Ac 0.817 0.366 0.803 1
# Formation energy from raw total energies (eV/atom): -0.517
# Density of states at the Fermi level (states/eV/f.u.): 4.41
# Uncorrected energy (eV per atom): -7.004
# Space-group type: P-1

=====

6.
# Ac2UPN5 | the Alexandria database | PBE | relaxed
data_Ac2UPN5
_chemical_formula_sum 'Ac4 U2 P2 N10'
_symmetry_space_group_name_H-M 'P 1'
_symmetry_Int_Tables_number 1
_symmetry_space_group_name_Hall 'P 1'
_cell_length_a 6.051
_cell_length_b 6.730
_cell_length_c 6.730
_cell_angle_alpha 90.00
_cell_angle_beta 90.00
_cell_angle_gamma 90.00
loop_
_atom_site_label
_atom_site_type_symbol
_atom_site_fract_x
_atom_site_fract_y
_atom_site_fract_z
_atom_site_occupancy
U1 U 0.000 0.500 0.500 1
U2 U 0.000 0.000 0.000 1
Ac1 Ac 0.500 0.325 0.825 1
Ac2 Ac 0.500 0.175 0.325 1
Ac3 Ac 0.500 0.825 0.675 1
Ac4 Ac 0.500 0.675 0.175 1
N1 N 0.198 0.633 0.867 1
N2 N 0.802 0.367 0.133 1
N3 N 0.500 0.500 0.500 1
N4 N 0.802 0.633 0.867 1
N5 N 0.198 0.867 0.367 1
N6 N 0.500 0.000 0.000 1
N7 N 0.802 0.867 0.367 1
N8 N 0.198 0.367 0.133 1
N9 N 0.198 0.133 0.633 1
N10 N 0.802 0.133 0.633 1
P1 P 0.000 0.500 0.000 1
P2 P 0.000 0.000 0.500 1
# Formation energy from raw total energies (eV/atom): -0.465
# Density of states at the Fermi level (states/eV/f.u.): 6.20
# Uncorrected energy (eV per atom): -7.859
# Space-group type: P4/mbm

=====

7.
# AcUPN5 | the Alexandria database | PBE | relaxed
data_AcUPN5
_chemical_formula_sum 'Ac2 U2 P2 N10'
_symmetry_space_group_name_H-M 'P 1'
_symmetry_Int_Tables_number 1
_symmetry_space_group_name_Hall 'P 1'
_cell_length_a 5.929
_cell_length_b 5.929
_cell_length_c 7.541
_cell_angle_alpha 101.53
_cell_angle_beta 101.53
_cell_angle_gamma 108.14
loop_
_atom_site_label
_atom_site_type_symbol
_atom_site_fract_x
_atom_site_fract_y
_atom_site_fract_z
_atom_site_occupancy
P1 P 0.315 0.685 0.750 1
P2 P 0.685 0.315 0.250 1
Ac1 Ac 0.340 0.660 0.250 1
Ac2 Ac 0.660 0.340 0.750 1
N1 N 0.076 0.924 0.250 1
N2 N 0.595 0.757 0.895 1
N3 N 0.405 0.243 0.105 1
N4 N 0.243 0.405 0.605 1
N5 N 0.924 0.076 0.750 1
N6 N 0.757 0.595 0.395 1
N7 N 0.121 0.693 0.881 1
N8 N 0.307 0.879 0.619 1
N9 N 0.693 0.121 0.381 1
N10 N 0.879 0.307 0.119 1
U1 U 0.000 0.000 0.000 1
U2 U 0.000 0.000 0.500 1
# Formation energy from raw total energies (eV/atom): -0.893
# Density of states at the Fermi level (states/eV/f.u.): 4.78
# Uncorrected energy (eV per atom): -8.697
# Space-group type: C2/c

=====

8.
# Ac2UP2N2 | the Alexandria database | PBE | relaxed
data_Ac2UP2N2
_chemical_formula_sum 'Ac2 U1 P2 N2'
_symmetry_space_group_name_H-M 'P 1'
_symmetry_Int_Tables_number 1
_symmetry_space_group_name_Hall 'P 1'
_cell_length_a 4.129
_cell_length_b 6.423
_cell_length_c 6.998
_cell_angle_alpha 64.68
_cell_angle_beta 72.84
_cell_angle_gamma 71.25
loop_
_atom_site_label
_atom_site_type_symbol
_atom_site_fract_x
_atom_site_fract_y
_atom_site_fract_z
_atom_site_occupancy
Ac1 Ac 0.813 0.659 0.714 1
Ac2 Ac 0.187 0.341 0.286 1
N1 N 0.822 0.277 0.079 1
N2 N 0.178 0.723 0.921 1
U1 U 0.000 0.000 0.000 1
P1 P 0.446 0.803 0.304 1
P2 P 0.554 0.197 0.696 1
# Formation energy from raw total energies (eV/atom): -1.413
# Uncorrected energy (eV per atom): -8.124
# Space-group type: C2/m

=====

9.
# Ac3U2P2N5 | the Alexandria database | PBE | relaxed
data_Ac3U2P2N5
_chemical_formula_sum 'Ac3 U2 P2 N5'
_symmetry_space_group_name_H-M 'P 1'
_symmetry_Int_Tables_number 1
_symmetry_space_group_name_Hall 'P 1'
_cell_length_a 4.350
_cell_length_b 4.350
_cell_length_c 12.710
_cell_angle_alpha 99.85
_cell_angle_beta 99.85
_cell_angle_gamma 90.00
loop_
_atom_site_label
_atom_site_type_symbol
_atom_site_fract_x
_atom_site_fract_y
_atom_site_fract_z
_atom_site_occupancy
N1 N 0.500 0.500 0.000 1
N2 N 0.415 0.915 0.830 1
N3 N 0.085 0.585 0.170 1
N4 N 0.585 0.085 0.170 1
N5 N 0.915 0.415 0.830 1
Ac1 Ac 0.177 0.177 0.354 1
Ac2 Ac 0.000 0.000 0.000 1
Ac3 Ac 0.823 0.823 0.646 1
P1 P 0.302 0.302 0.604 1
P2 P 0.698 0.698 0.396 1
U1 U 0.587 0.587 0.173 1
U2 U 0.413 0.413 0.827 1
# Formation energy from raw total energies (eV/atom): -1.368
# Uncorrected energy (eV per atom): -8.647
# Space-group type: I4/mmm

=====

10.
# Ac3YP2N6 | the Alexandria database | PBE | relaxed
data_Ac3YP2N6
_chemical_formula_sum 'Ac3 Y1 P2 N6'
_symmetry_space_group_name_H-M 'P 1'
_symmetry_Int_Tables_number 1
_symmetry_space_group_name_Hall 'P 1'
_cell_length_a 5.844
_cell_length_b 5.844
_cell_length_c 6.782
_cell_angle_alpha 90.00
_cell_angle_beta 90.00
_cell_angle_gamma 120.00
loop_
_atom_site_label
_atom_site_type_symbol
_atom_site_fract_x
_atom_site_fract_y
_atom_site_fract_z
_atom_site_occupancy
Ac1 Ac 0.000 0.000 0.000 1
Ac2 Ac 0.667 0.333 0.344 1
Ac3 Ac 0.333 0.667 0.656 1
N1 N 0.637 0.819 0.292 1
N2 N 0.819 0.181 0.708 1
N3 N 0.181 0.363 0.292 1
N4 N 0.181 0.819 0.292 1
N5 N 0.363 0.181 0.708 1
N6 N 0.819 0.637 0.708 1
P1 P 0.667 0.333 0.812 1
P2 P 0.333 0.667 0.188 1
Y1 Y 0.000 0.000 0.500 1
# Formation energy from raw total energies (eV/atom): -1.191
# Uncorrected energy (eV per atom): -7.822
# Space-group type: P-3m1

=====

Copy entry 6 word for word.
# Ac2UPN5 | the Alexandria database | PBE | relaxed
data_Ac2UPN5
_chemical_formula_sum 'Ac4 U2 P2 N10'
_symmetry_space_group_name_H-M 'P 1'
_symmetry_Int_Tables_number 1
_symmetry_space_group_name_Hall 'P 1'
_cell_length_a 6.051
_cell_length_b 6.730
_cell_length_c 6.730
_cell_angle_alpha 90.00
_cell_angle_beta 90.00
_cell_angle_gamma 90.00
loop_
_atom_site_label
_atom_site_type_symbol
_atom_site_fract_x
_atom_site_fract_y
_atom_site_fract_z
_atom_site_occupancy
U1 U 0.000 0.500 0.500 1
U2 U 0.000 0.000 0.000 1
Ac1 Ac 0.500 0.325 0.825 1
Ac2 Ac 0.500 0.175 0.325 1
Ac3 Ac 0.500 0.825 0.675 1
Ac4 Ac 0.500 0.675 0.175 1
N1 N 0.198 0.633 0.867 1
N2 N 0.802 0.367 0.133 1
N3 N 0.500 0.500 0.500 1
N4 N 0.802 0.633 0.867 1
N5 N 0.198 0.867 0.367 1
N6 N 0.500 0.000 0.000 1
N7 N 0.802 0.867 0.367 1
N8 N 0.198 0.367 0.133 1
N9 N 0.198 0.133 0.633 1
N10 N 0.802 0.133 0.633 1
P1 P 0.000 0.500 0.000 1
P2 P 0.000 0.000 0.500 1
# Formation energy from raw total energies (eV/atom): -0.465
# Density of states at the Fermi level (states/eV/f.u.): 6.20
# Uncorrected energy (eV per atom): -7.859
# Space-group type: P4/mbm